Entry from Alexandria: BaEuPd2 after structural relaxation (PBE-GGA).

- crystal system = trigonal

Cell: 5.001 5.001 6.059 Å, 65.63 65.63 60.00°
Fractional coordinates of all 4 atoms:
Eu 0.500 0.500 0.500
Ba 0.000 0.000 0.000
Pd 0.783 0.783 0.650
Pd 0.217 0.217 0.350


Entry from Alexandria: BaEuPd2 after structural relaxation (PBE-GGA).

- crystal system = tetragonal

Cell: 3.783 3.783 7.538 Å, 90.00 90.00 90.00°
Fractional coordinates of all 4 atoms:
Eu 0.500 0.500 0.000
Ba 0.500 0.500 0.500
Pd 0.000 0.000 0.791
Pd 0.000 0.000 0.209


Entry from Alexandria: BaEuPd2 after structural relaxation (PBE-GGA).

- crystal system = cubic

Cell: 5.346 5.346 5.346 Å, 60.00 60.00 60.00°
Fractional coordinates of all 4 atoms:
Eu 0.000 0.000 0.000
Ba 0.500 0.500 0.500
Pd 0.250 0.250 0.250
Pd 0.750 0.750 0.750


| no. | ΔH_f (0 K) (eV per atom) | calculated volume (Å³ per cell) | DOS(E_F) (states/eV per atom) |
| --- | --- | --- | --- |
| 1 | -0.50 | 115.4 | 3.360 |
| 2 | -0.55 | 107.9 | 3.949 |
| 3 | -0.50 | 108.0 | 3.724 |